1.
Computed, not measured: an optimized crystal structure of Li2CrIn at the PBE level of DFT.

Structure (POSCAR):
```
Li2CrIn
1.0
2.937 0.000 0.000
0.000 4.471 0.000
-1.465 0.000 5.574
Li Cr In
2 1 1
direct
0.000 0.000 0.000 Li
0.319 0.500 0.244 Li
0.862 0.000 0.500 Cr
0.454 0.500 0.748 In
```

## Properties
**Magnetization**: 4.131 Bohr magnetons per cell
**ΔH_f (0 K)**: 0.19 eV per atom

=====

2.
Computed, not measured: an optimized crystal structure of CeGdNiGe at the PBE level of DFT.

Structure (POSCAR):
```
CeGdNiGe
1.0
0.000 3.539 3.539
3.539 0.000 3.539
3.539 3.539 0.000
Ce Gd Ni Ge
1 1 1 1
direct
0.000 0.000 0.000 Ce
0.500 0.500 0.500 Gd
0.250 0.250 0.250 Ni
0.750 0.750 0.750 Ge
```

## Properties
**Magnetization**: 7.952 Bohr magnetons per cell
**ΔH_f (0 K)**: -0.43 eV per atom

=====

3.
Computed, not measured: an optimized crystal structure of Bi2TeRhAu at the PBE level of DFT.

Structure (POSCAR):
```
Bi2TeRhAu
1.0
5.465 0.000 0.000
0.000 5.465 0.000
0.000 0.000 5.340
Bi Te Rh Au
2 1 1 1
direct
0.000 0.500 0.000 Bi
0.500 0.000 0.000 Bi
0.000 0.000 0.500 Te
0.500 0.500 0.500 Rh
0.000 0.000 0.000 Au
```

## Properties
**Uncorrected formation energy**: 979.4 meV per atom
**Magnetization**: 0.000 Bohr magnetons per cell

=====

4.
Computed, not measured: an optimized crystal structure of CoGeB3 at the PBE level of DFT.

Structure (POSCAR):
```
CoGeB3
1.0
3.834 0.000 0.000
0.000 3.834 0.000
0.000 0.000 3.834
Co Ge B
1 1 3
direct
0.000 0.000 0.000 Co
0.500 0.500 0.500 Ge
0.000 0.000 0.500 B
0.000 0.500 0.000 B
0.500 0.000 0.000 B
```

## Properties
**Magnetization**: 0.000 Bohr magnetons per cell
**Distance to the lowest polymorph of the same formula**: 0.0 meV per atom
**ΔH_f (0 K)**: 1.03 eV per atom

=====

Copy entry 2 word for word.
Computed, not measured: an optimized crystal structure of CeGdNiGe at the PBE level of DFT.

Structure (POSCAR):
```
CeGdNiGe
1.0
0.000 3.539 3.539
3.539 0.000 3.539
3.539 3.539 0.000
Ce Gd Ni Ge
1 1 1 1
direct
0.000 0.000 0.000 Ce
0.500 0.500 0.500 Gd
0.250 0.250 0.250 Ni
0.750 0.750 0.750 Ge
```

## Properties
**Magnetization**: 7.952 Bohr magnetons per cell
**ΔH_f (0 K)**: -0.43 eV per atom